1.
DFT (GGA-PBE) results for a relaxed TiRuSN2 crystal.

Results
Its density of states at the Fermi level is 5.94 states/eV/f.u. As for the excess energy over the best structure of this formula in the dataset: 0 meV per atom. The volume is 14.22 Å³/atom. The crystal system is tetragonal.

a = 3.779 Å, b = 3.779 Å, c = 4.980 Å
α = 90.00°, β = 90.00°, γ = 90.00°
Space group P4/mmm (No. 123)
Symmetry-distinct sites (fractional):
Ti1 0.000 0.000 0.000 (multiplicity 1)
Ru1 0.500 0.500 0.500 (multiplicity 1)
S1 0.500 0.500 0.000 (multiplicity 1)
N1 0.000 0.500 0.500 (multiplicity 2)

2.
DFT (GGA-PBE) results for a relaxed TiRuSN2 crystal.

Results
Its density of states at the Fermi level is 4.70 states/eV/f.u. As for the excess energy over the best structure of this formula in the dataset: 224 meV per atom. The volume is 14.48 Å³/atom. The crystal system is tetragonal.

a = 3.815 Å, b = 3.815 Å, c = 4.972 Å
α = 90.00°, β = 90.00°, γ = 90.00°
Space group P4/mmm (No. 123)
Symmetry-distinct sites (fractional):
Ti1 0.000 0.000 0.000 (multiplicity 1)
Ru1 0.500 0.500 0.500 (multiplicity 1)
S1 0.000 0.000 0.500 (multiplicity 1)
N1 0.000 0.500 0.000 (multiplicity 2)

3.
DFT (GGA-PBE) results for a relaxed TlRuS2N crystal.

Results
Its density of states at the Fermi level is 9.64 states/eV/f.u. As for the excess energy over the best structure of this formula in the dataset: 1679 meV per atom. The volume is 21.71 Å³/atom. The crystal system is tetragonal.

a = 5.149 Å, b = 5.149 Å, c = 4.094 Å
α = 90.00°, β = 90.00°, γ = 90.00°
Space group P4/mmm (No. 123)
Symmetry-distinct sites (fractional):
Tl1 0.000 0.000 0.000 (multiplicity 1)
Ru1 0.500 0.500 0.500 (multiplicity 1)
S1 0.000 0.500 0.000 (multiplicity 2)
N1 0.000 0.000 0.500 (multiplicity 1)

Q: What is the excess energy over the best structure of this formula in the dataset in the second record?
A: 224 meV per atom